(1)
Material: Ca2YSe
Method: DFT, PBE
State: relaxed

Volume ... 30.243 A^3/atom
E above lowest polymorph ... 2.01 eV per formula unit
Total moment ... 0.0 μB per formula unit
Formation energy from raw total energies ... -343 meV per atom

abc: 5.364 5.364 4.205
angles: 90.00 90.00 90.00
Space group P4/mmm (No. 123)
Inequivalent atoms, fractional coordinates:
Ca (0.000, 0.500, 0.000)
Y (0.000, 0.000, 0.500)
Se (0.500, 0.500, 0.500)

(2)
Material: HgSbRu4
Method: DFT, PBE
State: relaxed

Volume ... 17.300 A^3/atom
Total moment ... 3.3 μB per formula unit
Formation energy from raw total energies ... 623 meV per atom

abc: 7.460 7.460 7.460
angles: 90.00 90.00 90.00
Space group F-43m (No. 216)
Inequivalent atoms, fractional coordinates:
Hg (0.000, 0.000, 0.000)
Sb (0.250, 0.250, 0.250)
Ru (0.125, 0.125, 0.625)

(3)
Material: Tb4Er3In
Method: DFT, PBE
State: relaxed

Volume ... 30.035 A^3/atom
E above lowest polymorph ... 0.00 eV per formula unit
Total moment ... 0.0 μB per formula unit
ΔH_f (0 K) ... -0.115 eV/atom

abc: 8.284 7.005 8.318
angles: 90.00 95.36 90.00
Space group Pm (No. 6)
Inequivalent atoms, fractional coordinates:
Tb (0.000, 0.000, 0.000)
Tb (0.060, 0.500, 0.409)
Tb (0.244, 0.259, 0.749)
Tb (0.330, 0.252, 0.165)
Tb (0.482, 0.500, 0.510)
Tb (0.582, 0.000, 0.897)
Er (0.086, 0.000, 0.415)
Er (0.734, 0.248, 0.243)
Er (0.818, 0.242, 0.657)
Er (0.974, 0.500, 0.993)
In (0.493, 0.000, 0.497)
In (0.574, 0.500, 0.909)

(4)
Material: PmTiGe2
Method: DFT, PBE
State: relaxed

Volume ... 20.795 A^3/atom
Total moment ... 0.0 μB per formula unit
ΔH_f (0 K) ... -0.692 eV/atom

abc: 7.892 3.955 10.661
angles: 90.00 90.00 90.00
Space group Pnma (No. 62)
Inequivalent atoms, fractional coordinates:
Pm (0.134, 0.250, 0.139)
Ti (0.016, 0.750, 0.399)
Ge (0.161, 0.250, 0.806)
Ge (0.234, 0.250, 0.446)

(5)
Material: PmPaZnRh
Method: DFT, PBE
State: relaxed

Volume ... 22.020 A^3/atom
Total moment ... 0.0 μB per formula unit
ΔH_f (0 K) ... -0.255 eV/atom

abc: 7.063 7.063 7.063
angles: 90.00 90.00 90.00
Space group F-43m (No. 216)
Inequivalent atoms, fractional coordinates:
Pm (0.000, 0.000, 0.000)
Pa (0.000, 0.000, 0.500)
Zn (0.250, 0.250, 0.750)
Rh (0.250, 0.250, 0.250)

(6)
Material: Pm4Er5Tm
Method: DFT, PBE
State: relaxed

Volume ... 33.354 A^3/atom
E above lowest polymorph ... 2.24 eV per formula unit
Total moment ... 0.0 μB per formula unit
ΔH_f (0 K) ... 0.243 eV/atom

abc: 10.643 10.643 5.889
angles: 90.00 90.00 90.00
Space group I4mm (No. 107)
Inequivalent atoms, fractional coordinates:
Pm (0.000, 0.323, 0.000)
Er (0.000, 0.000, 0.240)
Er (0.189, 0.189, 0.502)
Tm (0.000, 0.000, 0.762)

(7)
Material: BeReS2
Method: DFT, PBE
State: relaxed

Volume ... 16.176 A^3/atom
Total moment ... 0.0 μB per formula unit
Formation energy from raw total energies ... -103 meV per atom

abc: 5.185 5.185 9.625
angles: 90.00 90.00 90.00
Space group I-42d (No. 122)
Inequivalent atoms, fractional coordinates:
Be (0.000, 0.000, 0.000)
Re (0.000, 0.000, 0.500)
S (0.217, 0.250, 0.125)

(8)
Material: MgTl2SnCl6
Method: DFT, PBE
State: relaxed

Volume ... 28.842 A^3/atom
Total moment ... 0.0 μB per formula unit
Formation energy from raw total energies ... -1258 meV per atom

abc: 7.286 7.546 12.772
angles: 90.00 124.76 90.00
Space group P2_1/c (No. 14)
Inequivalent atoms, fractional coordinates:
Mg (0.000, 0.000, 0.000)
Tl (0.232, 0.062, 0.749)
Sn (0.500, 0.000, 0.500)
Cl (0.145, 0.220, 0.458)
Cl (0.243, 0.689, 0.460)
Cl (0.316, 0.016, 0.235)

(9)
Material: RbPb6
Method: DFT, PBE
State: relaxed

Volume ... 64.244 A^3/atom
E above lowest polymorph ... 1.94 eV per formula unit
Total moment ... 0.0 μB per formula unit
ΔH_f (0 K) ... 0.254 eV/atom

abc: 7.661 7.661 7.661
angles: 90.00 90.00 90.00
Space group Pm-3m (No. 221)
Inequivalent atoms, fractional coordinates:
Rb (0.000, 0.000, 0.000)
Pb (0.202, 0.500, 0.500)

(10)
Material: NaAs3Cl
Method: DFT, PBE
State: relaxed

Volume ... 25.399 A^3/atom
E above lowest polymorph ... 0.00 eV per formula unit
Total moment ... 0.0 μB per formula unit
Formation energy from raw total energies ... 715 meV per atom

abc: 5.026 5.026 5.026
angles: 90.00 90.00 90.00
Space group Pm-3m (No. 221)
Inequivalent atoms, fractional coordinates:
Na (0.000, 0.000, 0.000)
As (0.000, 0.500, 0.500)
Cl (0.500, 0.500, 0.500)

(11)
Material: K2LiH
Method: DFT, PBE
State: relaxed

Volume ... 35.694 A^3/atom
E above lowest polymorph ... 0.98 eV per formula unit
Total moment ... 0.0 μB per formula unit

abc: 8.297 8.297 8.297
angles: 90.00 90.00 90.00
Space group Fm-3m (No. 225)
Inequivalent atoms, fractional coordinates:
K (0.250, 0.250, 0.250)
Li (0.000, 0.000, 0.000)
H (0.000, 0.000, 0.500)

(12)
Material: KSmO
Method: DFT, PBE
State: relaxed

Volume ... 26.220 A^3/atom
Total moment ... 0.2 μB per formula unit
Formation energy from raw total energies ... -970 meV per atom

abc: 14.765 3.520 6.054
angles: 90.00 90.00 90.00
Space group Amm2 (No. 38)
Inequivalent atoms, fractional coordinates:
K (0.106, 0.000, 0.000)
Sm (0.391, 0.000, 0.557)
O (0.000, 0.000, 0.665)
O (0.500, 0.000, 0.889)

no.,mass density (Mg/m³)
1,3.4
2,11.6
3,8.7
4,6.8
5,10.3
6,7.9
7,6.7
8,4.4
9,4.9
10,3.7
11,1.0
12,4.3